# 1
## Rb2VInP (GGA-PBE)

Data for a geometry-optimized Rb2VInP structure.

The space group is P4/mmm. The total energy comes out at -2.74 eV/atom. As for the formation energy: 1.100 eV/atom. The crystal system is tetragonal. The value obtained for the total moment is 0.861 μB/atom.

Cell and atoms, written as CIF:
```
data_Rb2VInP
_chemical_formula_sum 'Rb2 V1 In1 P1'
_symmetry_space_group_name_H-M 'P 1'
_symmetry_Int_Tables_number 1
_symmetry_space_group_name_Hall 'P 1'
_cell_length_a 6.6021
_cell_length_b 6.6021
_cell_length_c 5.3389
_cell_angle_alpha 90.00
_cell_angle_beta 90.00
_cell_angle_gamma 90.00
loop_
_atom_site_label
_atom_site_type_symbol
_atom_site_fract_x
_atom_site_fract_y
_atom_site_fract_z
In1 In 0.0000 0.0000 0.0000
Rb1 Rb 0.0000 0.5000 0.0000
P1 P 0.5000 0.5000 0.5000
Rb2 Rb 0.5000 0.0000 0.0000
V1 V 0.0000 0.0000 0.5000
```

=====

# 2
## Rb2YInP (GGA-PBE)

Data for a geometry-optimized Rb2YInP structure.

The space group is P4/mmm. The total energy comes out at -2.25 eV/atom. As for the formation energy: 1.060 eV/atom. The crystal system is tetragonal. The value obtained for the total moment is 0.425 μB/atom.

Cell and atoms, written as CIF:
```
data_Rb2YInP
_chemical_formula_sum 'Rb2 Y1 In1 P1'
_symmetry_space_group_name_H-M 'P 1'
_symmetry_Int_Tables_number 1
_symmetry_space_group_name_Hall 'P 1'
_cell_length_a 7.4770
_cell_length_b 5.7037
_cell_length_c 7.4770
_cell_angle_alpha 90.00
_cell_angle_beta 90.00
_cell_angle_gamma 90.00
loop_
_atom_site_label
_atom_site_type_symbol
_atom_site_fract_x
_atom_site_fract_y
_atom_site_fract_z
Rb1 Rb 0.5000 0.0000 0.0000
In1 In 0.0000 0.5000 0.0000
Y1 Y 0.0000 0.0000 0.0000
Rb2 Rb 0.0000 0.0000 0.5000
P1 P 0.5000 0.5000 0.5000
```